The following is a DFT calculation (GGA-PBE) of a geometry-optimized ZrPt2Rh2 structure.

Unit cell a=6.8762 b=6.8762 c=3.5500 alpha=90.00 beta=90.00 gamma=90.00
Atoms (fractional coordinates):
Pt1 0.1644 0.6644 0.5000
Pt2 0.6644 0.8356 0.5000
Pt3 0.8356 0.3356 0.5000
Pt4 0.3356 0.1644 0.5000
Rh1 0.1332 0.3668 0.0000
Rh2 0.6332 0.1332 0.0000
Rh3 0.8668 0.6332 0.0000
Rh4 0.3668 0.8668 0.0000
Zr1 0.0000 0.0000 0.0000
Zr2 0.5000 0.5000 0.0000

Values from the calculation:
V: 16.8 Å³ per atom
Calculated formation energy: -0.39 eV per atom
Offset from the most stable computed form: 0.0 kJ per mole of atoms
Electronic total energy: -7.461 eV/atom
SG: P4/mbm (127)